## SmSi4Ni6 (PBE-GGA)

Data for crystalline SmSi4Ni6 at its relaxed geometry.

a = 6.6370 Å, b = 6.6370 Å, c = 3.7324 Å
α = 90.00°, β = 90.00°, γ = 120.00°
Fractional positions:
1 Sm 0.0000 0.0000 0.0000
2 Si 0.3333 0.6667 0.0000
3 Si 0.3962 0.1981 0.5000
4 Si 0.8019 0.1981 0.5000
5 Si 0.8019 0.6038 0.5000
6 Ni 0.2052 0.4104 0.5000
7 Ni 0.2052 0.7948 0.5000
8 Ni 0.5353 0.0706 0.0000
9 Ni 0.5353 0.4647 0.0000
10 Ni 0.5896 0.7948 0.5000
11 Ni 0.9294 0.4647 0.0000

Summary:
raw formation energy: -0.67 eV per atom
space group: No. 187


## KTl2H (PBE-GGA)

Data for crystalline KTl2H at its relaxed geometry.

a = 6.8006 Å, b = 6.8006 Å, c = 6.8006 Å
α = 101.12°, β = 101.12°, γ = 127.89°
Fractional positions:
1 K 0.0000 0.0000 0.0000
2 K 0.7500 0.2500 0.5000
3 Tl 0.2195 0.6250 0.0945
4 Tl 0.3750 0.4695 0.5945
5 Tl 0.5305 0.1250 0.9055
6 Tl 0.8750 0.7805 0.4055
7 H 0.2500 0.7500 0.5000
8 H 0.5000 0.5000 0.0000

Summary:
relative energy among the computed polymorphs: 0 meV per atom
space group: No. 122


## Ba2YF (PBE-GGA)

Data for crystalline Ba2YF at its relaxed geometry.

a = 7.5406 Å, b = 7.5406 Å, c = 7.5406 Å
α = 113.27°, β = 113.27°, γ = 102.11°
Fractional positions:
1 Ba 0.3750 0.2475 0.3725
2 Ba 0.7525 0.1250 0.1275
3 Ba 0.8750 0.0025 0.6275
4 Ba 0.9975 0.6250 0.8725
5 Y 0.2500 0.7500 0.5000
6 Y 0.5000 0.5000 0.0000
7 F 0.0000 0.0000 0.0000
8 F 0.7500 0.2500 0.5000

Summary:
raw formation energy: -1.06 eV per atom
relative energy among the computed polymorphs: 0 meV per atom
space group: No. 122


## ScBePt2I (PBE-GGA)

Data for crystalline ScBePt2I at its relaxed geometry.

a = 5.1297 Å, b = 5.1297 Å, c = 4.2861 Å
α = 90.00°, β = 90.00°, γ = 90.00°
Fractional positions:
1 Sc 0.0000 0.0000 0.0000
2 Be 0.5000 0.5000 0.0000
3 Pt 0.0000 0.5000 0.5000
4 Pt 0.5000 0.0000 0.5000
5 I 0.5000 0.5000 0.5000

Summary:
raw formation energy: 0.86 eV per atom
space group: No. 123


## SrPrDy (PBE-GGA)

Data for crystalline SrPrDy at its relaxed geometry.

a = 6.9668 Å, b = 3.6451 Å, c = 9.4540 Å
α = 90.00°, β = 90.00°, γ = 90.00°
Fractional positions:
1 Sr 0.2500 0.0000 0.1390
2 Sr 0.7500 0.0000 0.8610
3 Pr 0.2500 0.5000 0.7652
4 Pr 0.7500 0.5000 0.2348
5 Dy 0.0000 0.0000 0.5000
6 Dy 0.5000 0.0000 0.5000

Summary:
calculated formation energy: 209.6 meV/atom
relative energy among the computed polymorphs: 106 meV per atom
space group: No. 51


## Th2NpPaC4 (PBE-GGA)

Data for crystalline Th2NpPaC4 at its relaxed geometry.

a = 6.3048 Å, b = 3.6570 Å, c = 6.3092 Å
α = 90.00°, β = 109.51°, γ = 90.00°
Fractional positions:
1 Th 0.0000 0.0000 0.0000
2 Th 0.0000 0.5000 0.5000
3 Np 0.5000 0.0000 0.5000
4 Pa 0.5000 0.5000 0.0000
5 C 0.2861 0.0000 0.7509
6 C 0.2906 0.5000 0.2728
7 C 0.7094 0.5000 0.7272
8 C 0.7139 0.0000 0.2491

Summary:
calculated formation energy: -202.2 meV/atom
space group: No. 10


## TaV4Sb (PBE-GGA)

Data for crystalline TaV4Sb at its relaxed geometry.

a = 5.0710 Å, b = 5.0710 Å, c = 5.0710 Å
α = 60.00°, β = 60.00°, γ = 60.00°
Fractional positions:
1 Ta 0.0000 0.0000 0.0000
2 V 0.3742 0.3742 0.3742
3 V 0.3742 0.3742 0.8774
4 V 0.3742 0.8774 0.3742
5 V 0.8774 0.3742 0.3742
6 Sb 0.7500 0.7500 0.7500

Summary:
raw formation energy: 0.03 eV per atom
space group: No. 216


## Pr4RuPt (PBE-GGA)

Data for crystalline Pr4RuPt at its relaxed geometry.

a = 8.2813 Å, b = 8.2813 Å, c = 6.5350 Å
α = 108.09°, β = 108.09°, γ = 112.54°
Fractional positions:
1 Pr 0.0485 0.6921 0.8996
2 Pr 0.2330 0.3614 0.7216
3 Pr 0.3079 0.9515 0.6004
4 Pr 0.3614 0.2330 0.2216
5 Pr 0.6386 0.7670 0.7784
6 Pr 0.6921 0.0485 0.3996
7 Pr 0.7670 0.6386 0.2784
8 Pr 0.9515 0.3079 0.1004
9 Ru 0.0050 0.9950 0.2500
10 Ru 0.9950 0.0050 0.7500
11 Pt 0.3641 0.6359 0.2500
12 Pt 0.6359 0.3641 0.7500

Summary:
calculated formation energy: -468.4 meV/atom
relative energy among the computed polymorphs: 0 meV per atom
space group: No. 15


## YMg4Cu (PBE-GGA)

Data for crystalline YMg4Cu at its relaxed geometry.

a = 5.8022 Å, b = 5.8022 Å, c = 5.8022 Å
α = 60.00°, β = 60.00°, γ = 60.00°
Fractional positions:
1 Y 0.0000 0.0000 0.0000
2 Mg 0.3751 0.3751 0.3751
3 Mg 0.3751 0.3751 0.8746
4 Mg 0.3751 0.8746 0.3751
5 Mg 0.8746 0.3751 0.3751
6 Cu 0.7500 0.7500 0.7500

Summary:
calculated formation energy: 181.1 meV/atom
relative energy among the computed polymorphs: 316 meV per atom
space group: No. 216


## SnTe2ICl (PBE-GGA)

Data for crystalline SnTe2ICl at its relaxed geometry.

a = 5.5591 Å, b = 5.5591 Å, c = 5.5106 Å
α = 90.00°, β = 90.00°, γ = 90.00°
Fractional positions:
1 Sn 0.0000 0.0000 0.0000
2 Te 0.0000 0.5000 0.5000
3 Te 0.5000 0.0000 0.5000
4 I 0.5000 0.5000 0.0000
5 Cl 0.5000 0.5000 0.5000

Summary:
raw formation energy: 0.48 eV per atom
relative energy among the computed polymorphs: 114 meV per atom
space group: No. 123


## LuZnInIr (PBE-GGA)

Data for crystalline LuZnInIr at its relaxed geometry.

a = 4.7265 Å, b = 4.7265 Å, c = 4.7265 Å
α = 60.00°, β = 60.00°, γ = 60.00°
Fractional positions:
1 Lu 0.0000 0.0000 0.0000
2 Zn 0.2500 0.2500 0.2500
3 In 0.5000 0.5000 0.5000
4 Ir 0.7500 0.7500 0.7500

Summary:
calculated formation energy: -414.6 meV/atom
space group: No. 216


## BePOs (PBE-GGA)

Data for crystalline BePOs at its relaxed geometry.

a = 3.7685 Å, b = 2.9684 Å, c = 6.5622 Å
α = 90.00°, β = 90.58°, γ = 90.00°
Fractional positions:
1 Be 0.0000 0.0000 0.0000
2 Be 0.0234 0.5000 0.3110
3 P 0.0098 0.5000 0.6413
4 P 0.6072 0.0000 0.3785
5 Os 0.4904 0.0000 0.7388
6 Os 0.5002 0.5000 0.1063

Summary:
calculated formation energy: -59.2 meV/atom
relative energy among the computed polymorphs: 108 meV per atom
space group: No. 6


| no. | total magnetic moment (μB per formula unit) | E (eV for the cell shown) |
| --- | --- | --- |
| 1 | 0.0 | -68.5 |
| 2 | 0.0 | -17.0 |
| 3 | 0.0 | -32.8 |
| 4 | 0.0 | -19.4 |
| 5 | 0.0 | -20.9 |
| 6 | 1.4 | -75.8 |
| 7 | 0.0 | -52.3 |
| 8 | 0.0 | -74.5 |
| 9 | 0.0 | -15.9 |
| 10 | 0.0 | -11.3 |
| 11 | 0.0 | -19.1 |
| 12 | 0.0 | -41.1 |